1.
5
Lattice="4.070 0.000 0.000 0.000 4.070 0.000 0.000 0.000 5.960" Properties=species:S:1:pos:R:3 comment="PBE TaHgTeN2, optimized geometry" spacegroup="P4/mmm, No. 123" total_magnetization_mub_per_fu=0.654 de_polymorph_kj_per_mol_fu=0 volume_a3_per_atom=19.7 pbc="T T T"
Ta 0.000 0.000 0.000
Hg 2.035 2.035 2.980
Te 0.000 0.000 2.980
N 0.000 2.035 0.000
N 2.035 0.000 0.000

2.
5
Lattice="6.525 0.000 0.000 0.000 6.525 0.000 0.000 0.000 6.247" Properties=species:S:1:pos:R:3 comment="PBE BaAs2SeBr, optimized geometry" spacegroup="P4/mmm, No. 123" total_magnetization_mub_per_fu=3.098 de_polymorph_kj_per_mol_fu=524 volume_a3_per_atom=53.2 pbc="T T T"
Ba 0.000 0.000 0.000
As 0.000 3.262 0.000
As 3.262 0.000 0.000
Se 0.000 0.000 3.124
Br 3.262 3.262 3.124

3.
15
Lattice="5.715 0.000 0.000 -2.857 4.949 0.000 0.000 0.000 9.237" Properties=species:S:1:pos:R:3 comment="PBE Tb3CuB2Pt9, optimized geometry" spacegroup="P-3m1, No. 164" formation_enthalpy_0k_ev_per_atom=-0.807 total_magnetization_mub_per_fu=0.000 volume_a3_per_atom=17.4 pbc="T T T"
Tb 0.000 0.000 0.000
Tb 0.000 3.299 5.521
Tb 2.857 1.650 3.716
Cu 0.000 0.000 4.618
B 0.000 3.299 1.400
B 2.857 1.650 7.837
Pt -1.429 2.474 0.000
Pt 0.000 1.625 2.667
Pt -1.450 4.136 2.667
Pt 1.408 0.813 6.569
Pt 2.857 0.000 0.000
Pt 1.429 2.474 0.000
Pt 1.450 4.136 2.667
Pt 4.307 0.813 6.569
Pt 2.857 3.324 6.569